! PBE-GGA Ta4CuSN2, optimized geometry; values from VASP
! space-group type: P-6m2
! uncorrected energy: -76.1 eV for the cell shown
&SYSTEM
  ibrav = 0, nat = 8, ntyp = 4
/
ATOMIC_SPECIES
Ta 180.95 Ta.upf
Cu 63.55 Cu.upf
S 32.06 S.upf
N 14.01 N.upf
CELL_PARAMETERS angstrom
3.174 0.000 0.000
-1.587 2.748 0.000
0.000 0.000 12.409
ATOMIC_POSITIONS crystal
Ta 0.000 0.000 0.148
Ta 0.000 0.000 0.852
Ta 0.333 0.667 0.336
Ta 0.333 0.667 0.664
Cu 0.000 0.000 0.500
S 0.333 0.667 0.000
N 0.667 0.333 0.247
N 0.667 0.333 0.753



! PBE-GGA CuW4SN2, optimized geometry; values from VASP
! space-group type: P-6m2
! uncorrected energy: -74.4 eV for the cell shown
&SYSTEM
  ibrav = 0, nat = 8, ntyp = 4
/
ATOMIC_SPECIES
Cu 63.55 Cu.upf
W 183.84 W.upf
S 32.06 S.upf
N 14.01 N.upf
CELL_PARAMETERS angstrom
2.871 0.000 0.000
-1.436 2.487 0.000
0.000 0.000 13.945
ATOMIC_POSITIONS crystal
Cu 0.000 0.000 0.000
W 0.000 0.000 0.363
W 0.000 0.000 0.637
W 0.333 0.667 0.156
W 0.333 0.667 0.844
S 0.333 0.667 0.500
N 0.667 0.333 0.257
N 0.667 0.333 0.743